No. 1
This record from the Alexandria database describes a relaxed MgTl2Rh crystal. The functional is PBE.

Structure (POSCAR):
```
MgTl2Rh
1.0
9.6063 -0.0215 -0.0127
9.0308 3.2750 -0.0127
9.0308 1.5765 2.8706
Rh Tl Mg
1 2 1
Cartesian
20.8550 3.6407 2.1447 Rh
0.4108 0.0717 0.0422 Tl
6.8435 1.1947 0.7038 Tl
13.3926 2.3380 1.3772 Mg
```

Summary:
The total energy is -3.39 eV per atom. The calculation puts the density of states at the Fermi level at 2.408 states/eV/f.u. The calculated density is 9.75 g/cm³. Its energy relative to the elements is 2.6 kJ/mol of atoms.


No. 2
This record from the Alexandria database describes a relaxed MgTlRh2 crystal. The functional is PBE.

Structure (POSCAR):
```
MgTlRh2
1.0
-0.0740 2.3312 -6.7804
-1.3725 -3.9728 1.6580
-2.9197 0.4283 -1.3925
Rh Tl Mg
2 1 1
Cartesian
0.0000 0.0000 0.0000 Rh
-1.4969 1.3797 -4.0865 Rh
-2.1461 -1.7722 0.1327 Tl
-0.7232 -0.8208 -2.5612 Mg
```

Summary:
The total energy is -4.93 eV per atom. The calculation puts the density of states at the Fermi level at 1.841 states/eV/f.u. The calculated density is 10.84 g/cm³. Its energy relative to the elements is -25.4 kJ/mol of atoms.


No. 3
This record from the Alexandria database describes a relaxed MgTlRh2 crystal. The functional is PBE.

Structure (POSCAR):
```
MgTlRh2
1.0
-0.6535 -3.9673 2.3806
0.4326 -4.6358 -0.3955
4.7276 -0.7304 2.0255
Mg Rh Tl
1 2 1
Cartesian
1.1267 -2.3334 1.0027 Mg
-0.1229 -8.5913 2.0207 Rh
2.1554 -4.6784 1.9698 Rh
3.3800 -7.0001 3.0080 Tl
```

Summary:
The total energy is -4.73 eV per atom. The calculation puts the density of states at the Fermi level at 3.605 states/eV/f.u. The calculated density is 10.51 g/cm³. Its energy relative to the elements is -5.7 kJ/mol of atoms.


No. 4
This record from the Alexandria database describes a relaxed MgTl2Rh crystal. The functional is PBE.

Structure (POSCAR):
```
MgTl2Rh
1.0
-4.9084 2.0856 0.1651
2.0325 -1.6683 -5.1414
-1.2696 -3.0067 -0.6123
Tl Mg Rh
2 1 1
Cartesian
0.0000 0.0000 0.0000 Tl
-3.0890 -0.4605 -0.2236 Tl
0.3814 -2.3375 -2.8769 Mg
-1.4380 0.2087 -2.4882 Rh
```

Summary:
The total energy is -3.28 eV per atom. The calculation puts the density of states at the Fermi level at 2.741 states/eV/f.u. The calculated density is 10.38 g/cm³. Its energy relative to the elements is 13.9 kJ/mol of atoms.


No. 5
This record from the Alexandria database describes a relaxed Mg5TlRh crystal. The functional is PBE.

Structure (POSCAR):
```
Mg5TlRh
1.0
-3.9867 1.4208 0.4323
-1.2996 -3.9376 0.9518
1.3927 1.4739 7.9987
Tl Mg Rh
1 5 1
Cartesian
0.0000 0.0000 0.0000 Tl
-2.9290 -2.8420 3.2584 Mg
0.6963 0.7369 3.9993 Mg
-4.2725 -0.1628 2.9986 Mg
0.3788 -0.8801 6.3841 Mg
-0.9647 1.7990 6.1244 Mg
-1.9469 -0.5215 4.6914 Rh
```

Summary:
The total energy is -2.65 eV per atom. The excess energy over the best structure of this formula in the dataset is 0.0749 eV per atom. The calculation puts the density of states at the Fermi level at 3.527 states/eV/f.u. The calculated density is 4.77 g/cm³. Its energy relative to the elements is -12.2 kJ/mol of atoms.


No. 6
This record from the Alexandria database describes a relaxed MgTl2Rh crystal. The functional is PBE.

Structure (POSCAR):
```
MgTl2Rh
1.0
4.9384 0.0000 0.0000
2.4692 4.2768 0.0000
2.4692 1.4256 4.0322
Tl Rh Mg
2 1 1
Cartesian
0.0000 0.0000 0.0000 Tl
2.4692 1.4256 1.0080 Tl
7.4076 4.2768 3.0241 Rh
4.9384 2.8512 2.0161 Mg
```

Summary:
The total energy is -3.28 eV per atom. The calculation puts the density of states at the Fermi level at 1.228 states/eV/f.u. The calculated density is 10.45 g/cm³. Its energy relative to the elements is 13.2 kJ/mol of atoms.


No. 7
This record from the Alexandria database describes a relaxed Mg2TlRh crystal. The functional is PBE.

Structure (POSCAR):
```
Mg2TlRh
1.0
9.4195 -0.0182 -0.0107
8.8749 3.1563 -0.0107
8.8749 1.5223 2.7649
Mg Tl Rh
2 1 1
Cartesian
6.4697 1.1098 0.6533 Mg
27.1665 4.6600 2.7432 Mg
20.6206 3.5371 2.0822 Tl
13.6664 2.3443 1.3800 Rh
```

Summary:
The total energy is -3.22 eV per atom. The calculation puts the density of states at the Fermi level at 2.320 states/eV/f.u. The calculated density is 7.12 g/cm³. Its energy relative to the elements is 0.8 kJ/mol of atoms.


No. 8
This record from the Alexandria database describes a relaxed Mg2TlRh crystal. The functional is PBE.

Structure (POSCAR):
```
Mg2TlRh
1.0
3.4787 0.0113 0.0000
-0.0115 3.4787 0.0000
0.0000 0.0000 6.3382
Rh Mg Tl
1 2 1
Cartesian
0.0000 0.0000 2.9581 Rh
0.0000 0.0000 0.0832 Mg
1.7336 1.7450 1.8082 Mg
1.7336 1.7450 4.6578 Tl
```

Summary:
The total energy is -3.38 eV per atom. The calculation puts the density of states at the Fermi level at 1.676 states/eV/f.u. The calculated density is 7.70 g/cm³. Its energy relative to the elements is -14.8 kJ/mol of atoms.


No. 9
This record from the Alexandria database describes a relaxed Mg2TlRh crystal. The functional is PBE.

Structure (POSCAR):
```
Mg2TlRh
1.0
-3.1235 1.9969 -1.7525
-2.6457 -2.0907 2.3333
-2.3065 6.8776 7.1503
Mg Rh Tl
4 2 2
Cartesian
-3.9442 5.0828 5.6254 Mg
-6.7270 5.1163 5.8261 Mg
-2.7994 2.6677 1.0177 Mg
-2.6807 0.7007 2.9931 Mg
-2.8846 -0.0469 0.2904 Rh
-3.9184 2.3700 4.8870 Rh
0.0000 0.0000 0.0000 Tl
-4.1573 4.4138 2.8441 Tl
```

Summary:
The total energy is -3.10 eV per atom. The calculation puts the density of states at the Fermi level at 2.378 states/eV/f.u. The calculated density is 7.20 g/cm³. Its energy relative to the elements is 12.2 kJ/mol of atoms.


No. 10
This record from the Alexandria database describes a relaxed Mg2TlRh crystal. The functional is PBE.

Structure (POSCAR):
```
Mg2TlRh
1.0
4.7145 0.0000 0.0000
2.3573 4.0829 0.0000
2.3573 1.3610 3.8494
Mg Rh Tl
2 1 1
Cartesian
0.0000 0.0000 0.0000 Mg
2.3573 1.3610 0.9623 Mg
4.7145 2.7219 1.9247 Rh
7.0718 4.0829 2.8870 Tl
```

Summary:
The total energy is -3.36 eV per atom. The calculation puts the density of states at the Fermi level at 2.369 states/eV/f.u. The calculated density is 7.98 g/cm³. Its energy relative to the elements is -12.6 kJ/mol of atoms.


No. 11
This record from the Alexandria database describes a relaxed MgTl2Rh crystal. The functional is PBE.

Structure (POSCAR):
```
MgTl2Rh
1.0
3.3227 0.0000 0.0000
0.0000 5.4244 0.0000
0.0000 0.0000 4.7003
Rh Tl Mg
1 2 1
Cartesian
0.0000 2.7122 2.3502 Rh
0.0000 0.0000 0.0000 Tl
1.6613 2.7122 0.0000 Tl
1.6613 0.0000 2.3502 Mg
```

Summary:
The total energy is -3.31 eV per atom. The calculation puts the density of states at the Fermi level at 1.092 states/eV/f.u. The calculated density is 10.51 g/cm³. Its energy relative to the elements is 10.2 kJ/mol of atoms.


No. 12
This record from the Alexandria database describes a relaxed Mg2TlRh crystal. The functional is PBE.

Structure (POSCAR):
```
Mg2TlRh
1.0
4.4604 0.0000 0.0000
0.0000 3.1556 0.0289
0.0000 1.5235 5.5753
Rh Mg Tl
1 2 1
Cartesian
0.0000 2.9273 2.5889 Rh
2.2302 1.3633 1.6903 Mg
0.0000 4.4857 5.4963 Mg
2.2302 2.9215 4.2350 Tl
```

Summary:
The total energy is -3.38 eV per atom. The calculation puts the density of states at the Fermi level at 1.626 states/eV/f.u. The calculated density is 7.55 g/cm³. Its energy relative to the elements is -14.6 kJ/mol of atoms.


No. 13
This record from the Alexandria database describes a relaxed MgTl2Rh crystal. The functional is PBE.

Structure (POSCAR):
```
MgTl2Rh
1.0
-3.1283 0.0826 -0.7161
0.2039 -2.9916 -1.2357
-1.5572 -7.6922 5.9159
Rh Tl Mg
1 2 1
Cartesian
-2.5482 -7.7266 3.0452 Rh
-1.9182 -3.2158 0.8133 Tl
-1.2708 -9.9705 4.4020 Tl
-0.7743 -5.7140 2.7239 Mg
```

Summary:
The total energy is -3.51 eV per atom. The calculation puts the density of states at the Fermi level at 1.445 states/eV/f.u. The calculated density is 9.93 g/cm³. Its energy relative to the elements is -8.5 kJ/mol of atoms.


No. 14
This record from the Alexandria database describes a relaxed MgTl2Rh crystal. The functional is PBE.

Structure (POSCAR):
```
MgTl2Rh
1.0
3.3194 0.0003 0.0000
-0.0037 3.3193 0.0000
0.0000 0.0000 7.7903
Rh Mg Tl
1 1 2
Cartesian
1.6578 1.6598 5.8427 Rh
1.6578 1.6598 1.9476 Mg
0.0000 0.0000 7.5525 Tl
0.0000 0.0000 4.1329 Tl
```

Summary:
The total energy is -3.32 eV per atom. The calculation puts the density of states at the Fermi level at 2.893 states/eV/f.u. The calculated density is 10.37 g/cm³. Its energy relative to the elements is 9.2 kJ/mol of atoms.


Number 1: M_tot 0.00 μB per formula unit. Number 2: M_tot 0.00 μB per formula unit. Number 3: M_tot 0.00 μB per formula unit. Number 4: M_tot 0.00 μB per formula unit. Number 5: M_tot 0.00 μB per formula unit. Number 6: M_tot 0.00 μB per formula unit. Number 7: M_tot 0.00 μB per formula unit. Number 8: M_tot 0.00 μB per formula unit. Number 9: M_tot 0.00 μB per formula unit. Number 10: M_tot 0.00 μB per formula unit. Number 11: M_tot 0.00 μB per formula unit. Number 12: M_tot 0.00 μB per formula unit. Number 13: M_tot 0.00 μB per formula unit. Number 14: M_tot 0.00 μB per formula unit.